Material: Sm3ZrO6
Method: DFT, PBE
State: optimized geometry

POSCAR file:
```
Sm3ZrO6
1.0
4.6344 -5.5843 0.0000
4.6344 5.5843 0.0000
0.0000 0.0000 5.6554
Sm Zr O
6 2 12
Cartesian
4.6344 4.4377 2.8277
2.7903 1.1761 3.1244
2.7903 -1.1761 0.2967
6.4785 1.1761 3.1244
6.4785 -1.1761 0.2967
4.6344 -4.4377 0.0000
4.6344 1.8008 0.3776
4.6344 -1.8008 3.2053
3.2136 2.8274 1.4183
1.4353 0.1787 1.5702
1.4353 -0.1787 4.3979
4.6344 2.4706 4.1123
6.0552 2.8274 1.4183
4.6344 0.1453 1.8647
4.6344 -0.1453 4.6924
3.2136 -2.8274 4.2460
4.6344 -2.4706 1.2846
7.8336 0.1787 1.5702
7.8336 -0.1787 4.3979
6.0552 -2.8274 4.2460
```

Values from the calculation:
Crystal system = orthorhombic
Calculated volume = 14.6 Å³ per atom
Magnetic moment = 0.0 μB per cell
Symmetry = Cmc2_1, No. 36
Energy = -8.487 eV per atom

Material: GdAgPO
Method: DFT, PBE
State: optimized geometry

POSCAR file:
```
GdAgPO
1.0
4.2128 0.0000 0.0000
0.0000 6.3056 0.0000
0.0000 0.0000 5.5182
Gd Ag P O
2 2 2 2
Cartesian
0.0000 1.5378 0.0000
0.0000 4.7678 2.7591
2.1064 2.1777 2.5731
2.1064 4.1279 5.3322
2.1064 0.1173 4.0539
2.1064 6.1882 1.2948
0.0000 2.8391 1.7680
0.0000 3.4665 4.5271
```

Values from the calculation:
Crystal system = orthorhombic
Calculated volume = 18.3 Å³ per atom
Magnetic moment = 0.0 μB per cell
Symmetry = Pmc2_1, No. 26
Energy = -5.705 eV per atom

> Which formula does entry 1 have?

Sm3ZrO6